(1)
VASP calculation (GGA-PBE) on a relaxed structure of Np2Be4Ge3Pt.

Summary:
formation enthalpy at 0 K: -0.249 eV per atom
total magnetization: 7.9 μB/cell

Unit cell a=3.9462 b=3.9462 c=9.7738 alpha=90.00 beta=90.00 gamma=90.00
Last column: nearest neighbours and their distance in Å.
Space group P-4m2 (No. 115)
One atom of each set of equivalent atoms:
1 Np 0.0000 0.5000 0.2469  6 Ge 3.01-3.16, 8 Be 3.03-3.12, 2 Pt 3.16
2 Be 0.0000 0.0000 0.0000  4 Ge 2.36
3 Be 0.0000 0.5000 0.6330  3 Ge 2.30-2.36, 2 Pt 2.36
4 Be 0.5000 0.5000 0.0000  4 Ge 2.36
5 Ge 0.0000 0.5000 0.8680  5 Be 2.30-2.36
6 Ge 0.5000 0.5000 0.5000  4 Be 2.36
7 Pt 0.0000 0.0000 0.5000  4 Be 2.36

---

(2)
VASP calculation (GGA-PBE) on a relaxed structure of Np2BeGe4Pt3.

Summary:
formation enthalpy at 0 K: -0.428 eV per atom
total magnetization: 7.5 μB/cell

Unit cell a=4.1530 b=4.1530 c=10.6404 alpha=90.00 beta=90.00 gamma=90.00
Last column: nearest neighbours and their distance in Å.
Space group P-4m2 (No. 115)
One atom of each set of equivalent atoms:
1 Np 0.0000 0.5000 0.2392  8 Ge 3.16-3.47, 6 Pt 3.21-3.28, 2 Be 3.28
2 Be 0.5000 0.5000 0.0000  4 Ge 2.50
3 Ge 0.0000 0.0000 0.5000  4 Pt 2.55
4 Ge 0.0000 0.5000 0.8695  3 Pt 2.46-2.50, 2 Be 2.50
5 Ge 0.5000 0.5000 0.5000  4 Pt 2.55
6 Pt 0.0000 0.0000 0.0000  4 Ge 2.50
7 Pt 0.0000 0.5000 0.6384  5 Ge 2.46-2.55